[1]
Material: Be2Zn2Bi
Method: DFT, PBE
State: optimized geometry

SG: No. 139

Unit cell a=6.1823 b=6.1823 c=6.1823 alpha=143.97 beta=143.97 gamma=51.87
Last column: nearest neighbours and their distance in Å.
Fractional positions:
Be  0.2500  0.7500  0.5000  4 Zn 2.39
Be  0.7500  0.2500  0.5000  4 Zn 2.39
Zn  0.1213  0.1213  0.0000  4 Be 2.39
Zn  0.8787  0.8787  0.0000  4 Be 2.39
Bi  0.5000  0.5000  0.0000  8 Zn 3.02, 8 Be 3.37


[2]
Material: Be3ZnBi
Method: DFT, PBE
State: optimized geometry

SG: No. 221
Relative energy among the computed polymorphs, meV per atom: 0

Unit cell a=4.3290 b=4.3290 c=4.3290 alpha=90.00 beta=90.00 gamma=90.00
Last column: nearest neighbours and their distance in Å.
Fractional positions:
Be  0.0000  0.0000  0.5000  2 Zn 2.16
Be  0.0000  0.5000  0.0000  2 Zn 2.16
Be  0.5000  0.0000  0.0000  2 Zn 2.16
Zn  0.0000  0.0000  0.0000  6 Be 2.16
Bi  0.5000  0.5000  0.5000  12 Be 3.06


[3]
Material: BeZnBi2
Method: DFT, PBE
State: optimized geometry

SG: No. 122
Relative energy among the computed polymorphs, meV per atom: 0

Unit cell a=7.2661 b=7.2661 c=7.2661 alpha=129.30 beta=129.30 gamma=74.53
Last column: nearest neighbours and their distance in Å.
Fractional positions:
Be  0.0000  0.0000  0.0000  4 Bi 2.50
Be  0.7500  0.2500  0.5000  4 Bi 2.50
Zn  0.2500  0.7500  0.5000  4 Bi 2.78
Zn  0.5000  0.5000  0.0000  4 Bi 2.78
Bi  0.0879  0.6250  0.9629  2 Be 2.50, 2 Zn 2.78
Bi  0.3750  0.3379  0.4629  2 Be 2.50, 2 Zn 2.78
Bi  0.6621  0.1250  0.0371  2 Be 2.50, 2 Zn 2.78
Bi  0.8750  0.9121  0.5371  2 Be 2.50, 2 Zn 2.78


[4]
Material: Be2ZnBi
Method: DFT, PBE
State: optimized geometry

SG: No. 122
Relative energy among the computed polymorphs, meV per atom: 0

Unit cell a=8.4154 b=8.4154 c=8.4154 alpha=150.74 beta=150.74 gamma=41.85
Last column: nearest neighbours and their distance in Å.
Fractional positions:
Be  0.3750  0.1977  0.3227  2 Be 2.21, 2 Zn 2.26
Be  0.8023  0.1250  0.1773  2 Be 2.21, 2 Zn 2.26
Be  0.8750  0.0523  0.6773  2 Be 2.21, 2 Zn 2.26
Be  0.9477  0.6250  0.8227  2 Be 2.21, 2 Zn 2.26
Zn  0.0000  0.0000  0.0000  4 Be 2.26
Zn  0.7500  0.2500  0.5000  4 Be 2.26
Bi  0.2500  0.7500  0.5000  4 Be 2.88, 4 Zn 3.01
Bi  0.5000  0.5000  0.0000  4 Be 2.88, 4 Zn 3.01


[5]
Material: Be3ZnBi
Method: DFT, PBE
State: optimized geometry

SG: No. 221
Relative energy among the computed polymorphs, meV per atom: 686

Unit cell a=4.8923 b=4.8923 c=4.8923 alpha=90.00 beta=90.00 gamma=90.00
Last column: nearest neighbours and their distance in Å.
Fractional positions:
Be  0.0000  0.0000  0.5000  2 Bi 2.45
Be  0.0000  0.5000  0.0000  2 Bi 2.45
Be  0.5000  0.0000  0.0000  2 Bi 2.45
Zn  0.5000  0.5000  0.5000  12 Be 3.46
Bi  0.0000  0.0000  0.0000  6 Be 2.45


[6]
Material: BeZnBi2
Method: DFT, PBE
State: optimized geometry

SG: No. 225
Relative energy among the computed polymorphs, meV per atom: 163

Unit cell a=5.0447 b=5.0447 c=5.0447 alpha=60.00 beta=60.00 gamma=60.00
Last column: nearest neighbours and their distance in Å.
Fractional positions:
Be  0.0000  0.0000  0.0000  8 Bi 3.09
Zn  0.5000  0.5000  0.5000  8 Bi 3.09
Bi  0.2500  0.2500  0.2500  4 Zn 3.09, 4 Be 3.09
Bi  0.7500  0.7500  0.7500  4 Zn 3.09, 4 Be 3.09


[7]
Material: Be2ZnBi
Method: DFT, PBE
State: optimized geometry

SG: No. 225
Relative energy among the computed polymorphs, meV per atom: 336

Unit cell a=4.5961 b=4.5961 c=4.5961 alpha=60.00 beta=60.00 gamma=60.00
Last column: nearest neighbours and their distance in Å.
Fractional positions:
Be  0.2500  0.2500  0.2500  4 Bi 2.81, 4 Zn 2.81
Be  0.7500  0.7500  0.7500  4 Bi 2.81, 4 Zn 2.81
Zn  0.0000  0.0000  0.0000  8 Be 2.81
Bi  0.5000  0.5000  0.5000  8 Be 2.81


[8]
Material: ZrBeBi2
Method: DFT, PBE
State: optimized geometry

SG: No. 122

Unit cell a=7.4869 b=7.4869 c=7.4869 alpha=128.44 beta=128.44 gamma=75.92
Last column: nearest neighbours and their distance in Å.
Fractional positions:
Zr  0.0000  0.0000  0.0000  4 Bi 2.91
Zr  0.7500  0.2500  0.5000  4 Bi 2.91
Be  0.2500  0.7500  0.5000  4 Bi 2.58
Be  0.5000  0.5000  0.0000  4 Bi 2.58
Bi  0.1688  0.6250  0.0438  2 Be 2.58
Bi  0.3750  0.4188  0.5438  2 Be 2.58
Bi  0.5812  0.1250  0.9562  2 Be 2.58
Bi  0.8750  0.8312  0.4562  2 Be 2.58


Energy of formation per entry: 193, 383, 142, 158, 714, 205, 287, 164 kJ/mol of formula units